Entry 1:
Bi2SbPb5 | GGA-PBE | relaxed

Summary:
formation energy from raw total energies = 0.014 eV per atom
total magnetization = 0.0 μB/f.u.
symmetry = Pbam (55)
offset from the most stable computed form = 0.0000 eV/atom

Unit cell a=9.1812 b=12.6162 c=4.5909 alpha=90.00 beta=90.00 gamma=90.00
With the nearest neighbours (Å) after each atom.
Fractional coordinates of all 16 atoms:
Bi1 0.1087 0.1817 0.0000  8 Pb 3.35-3.42
Bi2 0.3913 0.6817 0.0000  8 Pb 3.35-3.42
Bi3 0.6087 0.3183 0.0000  8 Pb 3.35-3.42
Bi4 0.8913 0.8183 0.0000  8 Pb 3.35-3.42
Sb1 0.0000 0.5000 0.5000  6 Pb 3.12-3.17
Sb2 0.5000 0.0000 0.5000  6 Pb 3.12-3.17
Pb1 0.0000 0.0000 0.5000  4 Bi 3.39, 6 Pb 3.51-3.64
Pb2 0.1327 0.7280 0.5000  1 Sb 3.12, 4 Bi 3.35-3.39
Pb3 0.2233 0.4398 0.0000  2 Sb 3.17, 2 Bi 3.42, 2 Pb 3.51
Pb4 0.2767 0.9398 0.0000  2 Sb 3.17, 2 Bi 3.42, 2 Pb 3.51
Pb5 0.3673 0.2280 0.5000  1 Sb 3.12, 4 Bi 3.35-3.39
Pb6 0.5000 0.5000 0.5000  4 Bi 3.39, 6 Pb 3.51-3.64
Pb7 0.6327 0.7720 0.5000  1 Sb 3.12, 4 Bi 3.35-3.39
Pb8 0.7233 0.0602 0.0000  2 Sb 3.17, 2 Bi 3.42, 2 Pb 3.51
Pb9 0.7767 0.5602 0.0000  2 Sb 3.17, 2 Bi 3.42, 2 Pb 3.51
Pb10 0.8673 0.2720 0.5000  1 Sb 3.12, 4 Bi 3.35-3.39

Entry 2:
Li3WC | GGA-PBE | relaxed

Summary:
energy of formation = 2700 meV per atom
total magnetization = 7.0 μB/f.u.
symmetry = Pm-3m (221)
offset from the most stable computed form = 1.3488 eV/atom

Unit cell a=5.1763 b=5.1763 c=5.1763 alpha=90.00 beta=90.00 gamma=90.00
With the nearest neighbours (Å) after each atom.
Fractional coordinates of all 5 atoms:
Li1 0.0000 0.0000 0.5000  2 W 2.59
Li2 0.0000 0.5000 0.0000  2 W 2.59
Li3 0.5000 0.0000 0.0000  2 W 2.59
W1 0.0000 0.0000 0.0000  6 Li 2.59
C1 0.5000 0.5000 0.5000  12 Li 3.66

Entry 3:
Li2CaCd | GGA-PBE | relaxed

Summary:
energy of formation = -139 meV per atom
total magnetization = 0.0 μB/f.u.
symmetry = Imm2 (44)
offset from the most stable computed form = 0.0453 eV/atom

Unit cell a=5.6350 b=5.6350 c=5.6350 alpha=132.10 beta=132.03 gamma=70.12
With the nearest neighbours (Å) after each atom.
Fractional coordinates of all 4 atoms:
Li1 0.0000 0.0000 0.0000  4 Cd 3.24, 4 Li 3.25, 4 Ca 3.25
Li2 0.7494 0.2494 0.5000  4 Ca 3.24, 4 Cd 3.24-3.26, 4 Li 3.25
Ca1 0.2504 0.7504 0.5000  8 Li 3.24-3.25, 4 Cd 3.25
Cd1 0.5006 0.5006 0.0000  8 Li 3.24-3.26, 4 Ca 3.25

Entry 4:
KY | GGA-PBE | relaxed

Summary:
energy of formation = 274 meV per atom
total magnetization = 0.4 μB/f.u.
symmetry = P-3m1 (164)

Unit cell a=3.7969 b=3.7969 c=14.0881 alpha=90.00 beta=90.00 gamma=120.00
With the nearest neighbours (Å) after each atom.
Fractional coordinates of all 4 atoms:
K1 0.3333 0.6667 0.1490  6 K 3.80, 3 Y 4.22
K2 0.6667 0.3333 0.8510  6 K 3.80, 3 Y 4.22
Y1 0.3333 0.6667 0.5950  9 Y 3.46-3.80
Y2 0.6667 0.3333 0.4050  9 Y 3.46-3.80

Entry 5:
MoPt2Se | GGA-PBE | relaxed

Summary:
formation energy from raw total energies = 0.246 eV per atom
total magnetization = 0.0 μB/f.u.
symmetry = P4/mmm (123)

Unit cell a=3.8186 b=3.8186 c=4.4327 alpha=90.00 beta=90.00 gamma=90.00
With the nearest neighbours (Å) after each atom.
Fractional coordinates of all 4 atoms:
Mo1 0.0000 0.0000 0.0000  4 Se 2.70, 8 Pt 2.93
Pt1 0.0000 0.5000 0.5000  4 Pt 2.70, 4 Se 2.93, 4 Mo 2.93
Pt2 0.5000 0.0000 0.5000  4 Pt 2.70, 4 Se 2.93, 4 Mo 2.93
Se1 0.5000 0.5000 0.0000  4 Mo 2.70, 8 Pt 2.93

Entry 6:
Tl2BiTe4As | GGA-PBE | relaxed

Summary:
formation energy from raw total energies = -0.192 eV per atom
total magnetization = 0.0 μB/f.u.
symmetry = Imma (74)

Unit cell a=9.1250 b=9.1250 c=9.1250 alpha=121.05 beta=118.96 gamma=90.01
With the nearest neighbours (Å) after each atom.
Fractional coordinates of all 16 atoms:
Tl1 0.0000 0.0000 0.0000  6 Te 3.30-3.31
Tl2 0.5000 0.0000 0.0000  6 Te 3.47-3.48
Tl3 0.5000 0.0000 0.5000  6 Te 3.30-3.31
Tl4 0.5000 0.5000 0.5000  6 Te 3.47-3.48
Bi1 0.0000 0.5000 0.5000  6 Te 3.17
Bi2 0.5000 0.5000 0.0000  6 Te 3.17
Te1 0.2084 0.7446 0.4639  2 As 3.00, 1 Bi 3.17, 1 Tl 3.31
Te2 0.2193 0.2554 0.9639  2 As 3.00, 1 Bi 3.17, 1 Tl 3.31
Te3 0.2313 0.2422 0.5109  1 As 2.99, 2 Bi 3.17, 2 Tl 3.30
Te4 0.2313 0.7204 0.9891  1 As 2.99, 2 Bi 3.17, 2 Tl 3.30
Te5 0.7687 0.2796 0.0109  1 As 2.99, 2 Bi 3.17, 2 Tl 3.30
Te6 0.7687 0.7578 0.4891  1 As 2.99, 2 Bi 3.17, 2 Tl 3.30
Te7 0.7807 0.7446 0.0361  2 As 3.00, 1 Bi 3.17, 1 Tl 3.31
Te8 0.7916 0.2554 0.5361  2 As 3.00, 1 Bi 3.17, 1 Tl 3.31
As1 0.0000 0.0000 0.5000  6 Te 2.99-3.00
As2 0.0000 0.5000 0.0000  6 Te 2.99-3.00

Entry 7:
AlHg2As | GGA-PBE | relaxed

Summary:
energy of formation = 151 meV per atom
total magnetization = 0.0 μB/f.u.
symmetry = P2/m (10)
offset from the most stable computed form = 0.1825 eV/atom

Unit cell a=2.9232 b=5.5426 c=5.4806 alpha=90.00 beta=91.44 gamma=90.00
With the nearest neighbours (Å) after each atom.
Fractional coordinates of all 4 atoms:
Al1 0.0000 0.0000 0.0000  2 As 2.77, 2 Al 2.92, 2 Hg 3.07
Hg1 0.0000 0.5000 0.5000  2 As 2.74, 2 Hg 2.92
Hg2 0.5000 0.0000 0.5000  6 Hg 2.92-3.13, 4 Al 3.07-3.14
As1 0.0000 0.5000 0.0000  2 Hg 2.74, 2 Al 2.77, 2 As 2.92

Entry 8:
InNiTeH2 | GGA-PBE | relaxed

Summary:
total magnetization = 0.2 μB/f.u.
symmetry = P4/mmm (123)

Unit cell a=3.7996 b=3.7996 c=6.6000 alpha=90.00 beta=90.00 gamma=90.00
With the nearest neighbours (Å) after each atom.
Fractional coordinates of all 5 atoms:
In1 0.0000 0.0000 0.0000  4 Ni 2.69
Ni1 0.5000 0.5000 0.0000  4 In 2.69
Te1 0.0000 0.0000 0.5000  4 H 1.90
H1 0.0000 0.5000 0.5000  2 Te 1.90
H2 0.5000 0.0000 0.5000  2 Te 1.90

no.,uncorrected energy (eV per atom)
1,-3.79
2,-2.88
3,-1.83
4,-3.51
5,-6.35
6,-3.42
7,-2.10
8,-3.17